Below is a relaxed structure of Cr2WNO, with properties calculated at the PBE+U level.

Properties
**Total DFT energy (no corrections)**: -6.3002 eV/atom
**Total moment**: 7.1 μB/f.u.
**Space-group type**: P4/mmm (123)

Lattice parameters (Å, degrees): 3.7505 3.7505 5.3350 90.00 90.00 90.00
Fractional coordinates of all 5 atoms:
Cr 0.0000 0.5000 0.0000
Cr 0.5000 0.0000 0.0000
W 0.0000 0.0000 0.5000
N 0.5000 0.5000 0.5000
O 0.5000 0.5000 0.0000